Entry 1:
Zr3Tc | Alexandria via LeMat-Bulk | meta-GGA SCAN | PBEsol geometry; formation enthalpy at 0 K = 0.107 eV/atom; calculated volume = 78.35 Å³/cell; crystal system = cubic; M_tot = 0.0 μB per formula unit; total energy = -31.682 eV per atom
1.0
4.279 0.000 0.000
0.000 4.279 0.000
0.000 0.000 4.279
Zr Tc
3 1
direct
0.000 0.000 0.500
0.000 0.500 0.000
0.500 0.000 0.000
0.500 0.500 0.500

***

Entry 2:
Zr4Tc | Alexandria via LeMat-Bulk | meta-GGA SCAN | PBEsol geometry; formation enthalpy at 0 K = -0.223 eV/atom; calculated volume = 200.58 Å³/cell; crystal system = tetragonal; M_tot = 0.0 μB per formula unit; relative energy among the computed polymorphs = 0.0 meV/atom; total energy = -31.794 eV per atom
1.0
7.809 0.000 0.000
0.000 7.809 0.000
0.000 0.000 3.289
Zr Tc
8 2
direct
0.085 0.724 0.000
0.224 0.415 0.500
0.276 0.085 0.000
0.415 0.776 0.500
0.585 0.224 0.500
0.724 0.915 0.000
0.776 0.585 0.500
0.915 0.276 0.000
0.000 0.000 0.500
0.500 0.500 0.000

***

Entry 3:
Zr3Tc | Alexandria via LeMat-Bulk | meta-GGA SCAN | PBEsol geometry; formation enthalpy at 0 K = -0.263 eV/atom; calculated volume = 156.89 Å³/cell; crystal system = orthorhombic; M_tot = 0.0 μB per formula unit; total energy = -32.052 eV per atom
1.0
3.314 0.000 0.000
0.000 4.871 0.000
0.000 0.000 9.720
Zr Tc
6 2
direct
0.000 0.000 0.000
0.000 0.500 0.220
0.000 0.500 0.780
0.500 0.000 0.280
0.500 0.000 0.720
0.500 0.500 0.500
0.000 0.000 0.500
0.500 0.500 0.000

***

Entry 4:
Te | Alexandria via LeMat-Bulk | meta-GGA SCAN | PBEsol geometry; calculated volume = 31.24 Å³/cell; crystal system = cubic; formation energy (no corrections) = 0.027 eV/atom; M_tot = 0.0 μB per formula unit; relative energy among the computed polymorphs = 27.4 meV/atom; total energy = -37.224 eV per atom
1.0
3.149 0.000 0.000
0.000 3.149 0.000
0.000 0.000 3.149
Te
1
direct
0.000 0.000 0.000

***

Entry 5:
Te | Alexandria via LeMat-Bulk | meta-GGA SCAN | PBEsol geometry; calculated volume = 351.62 Å³/cell; crystal system = cubic; formation energy (no corrections) = 0.504 eV/atom; M_tot = 0.0 μB per formula unit; relative energy among the computed polymorphs = 503.9 meV/atom; total energy = -36.747 eV per atom
1.0
7.058 0.000 0.000
0.000 7.058 0.000
0.000 0.000 7.058
Te
8
direct
0.125 0.125 0.125
0.125 0.625 0.625
0.375 0.375 0.875
0.375 0.875 0.375
0.625 0.125 0.625
0.625 0.625 0.125
0.875 0.375 0.375
0.875 0.875 0.875

***

Entry 6:
Te | Alexandria via LeMat-Bulk | meta-GGA SCAN | PBEsol geometry; calculated volume = 95.82 Å³/cell; crystal system = trigonal; formation energy (no corrections) = 0.000 eV/atom; M_tot = 0.0 μB per formula unit; relative energy among the computed polymorphs = 0.0 meV/atom; total energy = -37.251 eV per atom
1.0
4.309 0.000 0.000
-2.155 3.732 0.000
0.000 0.000 5.959
Te
3
direct
0.000 0.286 0.333
0.286 0.000 0.667
0.714 0.714 0.000